A relaxed ZrGeI3 crystal, computed with GGA-PBE.

## Properties
The calculation puts the calculated density at 4.811 g cm⁻³. The calculation puts the total magnetization at 2.97 μB per formula unit. The calculation puts the raw formation energy at 0.52 eV/atom. As for the density of states at the Fermi level: 5.2 states/eV per cell. As for the total energy: -3.05 eV per atom.

a b c (Å): 5.7283 5.7283 5.7283
angles (deg): 90.00 90.00 90.00
Sites, in units of the cell vectors:
Zr  0.0000  0.0000  0.0000
Ge  0.5000  0.5000  0.5000
I  0.0000  0.5000  0.5000
I  0.5000  0.0000  0.5000
I  0.5000  0.5000  0.0000

A relaxed NdPuIrPd crystal, computed with GGA-PBE.

## Properties
The calculation puts the calculated density at 12.403 g cm⁻³. The calculation puts the total magnetization at 5.16 μB per formula unit. The value obtained for the energy relative to the elements is -2.421 eV/f.u. As for the density of states at the Fermi level: 20.9 states/eV per cell. As for the total energy: -8.89 eV per atom.

a b c (Å): 4.1301 3.9042 11.4064
angles (deg): 90.00 90.00 90.00
Sites, in units of the cell vectors:
Nd  0.0000  0.0000  0.0000
Nd  0.0000  0.5000  0.5000
Pu  0.5000  0.0000  0.7213
Pu  0.5000  0.5000  0.2213
Ir  0.0000  0.0000  0.2579
Ir  0.0000  0.5000  0.7579
Pd  0.5000  0.0000  0.4342
Pd  0.5000  0.5000  0.9342

A relaxed Zr4CoNi crystal, computed with GGA-PBE.

## Properties
The calculation puts the calculated density at 6.591 g cm⁻³. The calculation puts the total magnetization at 1.19 μB per formula unit. The value obtained for the energy relative to the elements is 4.443 eV/f.u. As for the density of states at the Fermi level: 11.0 states/eV per cell. As for the total energy: -7.11 eV per atom.

a b c (Å): 5.5605 5.5605 5.5605
angles (deg): 60.00 60.00 60.00
Sites, in units of the cell vectors:
Zr  0.1250  0.1250  0.1250
Zr  0.1250  0.1250  0.6250
Zr  0.1250  0.6250  0.1250
Zr  0.6250  0.1250  0.1250
Co  0.7500  0.7500  0.7500
Ni  0.5000  0.5000  0.5000

A relaxed Pm6GaSi3 crystal, computed with GGA-PBE.

## Properties
The calculation puts the calculated density at 5.737 g cm⁻³. The calculation puts the total magnetization at 0.00 μB per formula unit. The calculation puts the raw formation energy at -0.45 eV/atom. As for the density of states at the Fermi level: 16.1 states/eV per cell. As for the total energy: -5.23 eV per atom.

a b c (Å): 11.7868 4.2764 12.3782
angles (deg): 90.00 108.17 90.00
Sites, in units of the cell vectors:
Pm  0.0300  0.2500  0.3941
Pm  0.1072  0.2500  0.9474
Pm  0.2336  0.7500  0.2763
Pm  0.2900  0.7500  0.7605
Pm  0.3842  0.2500  0.5514
Pm  0.4220  0.7500  0.1007
Pm  0.5780  0.2500  0.8993
Pm  0.6158  0.7500  0.4486
Pm  0.7100  0.2500  0.2395
Pm  0.7664  0.2500  0.7237
Pm  0.8928  0.7500  0.0526
Pm  0.9700  0.7500  0.6059
Ga  0.4454  0.2500  0.3018
Ga  0.5546  0.7500  0.6982
Si  0.0536  0.2500  0.1700
Si  0.1938  0.7500  0.5044
Si  0.3435  0.2500  0.9248
Si  0.6565  0.7500  0.0752
Si  0.8062  0.2500  0.4956
Si  0.9464  0.7500  0.8300

A relaxed Zr4NbAl3 crystal, computed with GGA-PBE.

## Properties
The calculation puts the calculated density at 5.683 g cm⁻³. The calculation puts the total magnetization at 0.00 μB per formula unit. The value obtained for the energy relative to the elements is -2.708 eV/f.u. As for the density of states at the Fermi level: 4.6 states/eV per cell. As for the total energy: -7.27 eV per atom.

a b c (Å): 4.5576 4.5576 7.5782
angles (deg): 90.00 90.00 90.00
Sites, in units of the cell vectors:
Zr  0.0000  0.5000  0.2471
Zr  0.0000  0.5000  0.7529
Zr  0.5000  0.0000  0.2471
Zr  0.5000  0.0000  0.7529
Nb  0.0000  0.0000  0.0000
Al  0.0000  0.0000  0.5000
Al  0.5000  0.5000  0.0000
Al  0.5000  0.5000  0.5000

A relaxed ZrHg2 crystal, computed with GGA-PBE.

## Properties
The calculation puts the calculated density at 12.163 g cm⁻³. The calculation puts the total magnetization at 0.00 μB per formula unit. The value obtained for the energy relative to the elements is -0.110 eV/f.u. As for the density of states at the Fermi level: 7.6 states/eV per cell. As for the total energy: -3.09 eV per atom.

a b c (Å): 12.3257 3.4435 6.6833
angles (deg): 90.00 108.56 90.00
Sites, in units of the cell vectors:
Zr  0.1780  0.0000  0.1092
Zr  0.3220  0.5000  0.8908
Zr  0.6780  0.5000  0.1092
Zr  0.8220  0.0000  0.8908
Hg  0.0090  0.5000  0.7762
Hg  0.1531  0.0000  0.5695
Hg  0.3469  0.5000  0.4305
Hg  0.4910  0.0000  0.2238
Hg  0.5090  0.0000  0.7762
Hg  0.6531  0.5000  0.5695
Hg  0.8469  0.0000  0.4305
Hg  0.9910  0.5000  0.2238

A relaxed CdRuO3 crystal, computed with GGA-PBE.

## Properties
The calculation puts the calculated density at 6.428 g cm⁻³. The calculation puts the total magnetization at 4.88 μB per formula unit. The calculation puts the raw formation energy at 0.68 eV/atom. As for the density of states at the Fermi level: 3.4 states/eV per cell. As for the total energy: -4.33 eV per atom.

a b c (Å): 4.0727 4.0727 4.0727
angles (deg): 90.00 90.00 90.00
Sites, in units of the cell vectors:
Cd  0.0000  0.0000  0.0000
Ru  0.5000  0.5000  0.5000
O  0.0000  0.0000  0.5000
O  0.0000  0.5000  0.0000
O  0.5000  0.0000  0.0000

A relaxed Y2BeAlN crystal, computed with GGA-PBE.

## Properties
The calculation puts the calculated density at 4.344 g cm⁻³. The calculation puts the total magnetization at 0.00 μB per formula unit. The calculation puts the raw formation energy at -0.70 eV/atom. As for the density of states at the Fermi level: 0.8 states/eV per cell. As for the total energy: -6.44 eV per atom.

a b c (Å): 5.0226 5.0226 3.4523
angles (deg): 90.00 90.00 90.00
Sites, in units of the cell vectors:
Y  0.0000  0.5000  0.0000
Y  0.5000  0.0000  0.0000
Be  0.0000  0.0000  0.5000
Al  0.5000  0.5000  0.5000
N  0.0000  0.0000  0.0000

A relaxed Ta4AsPt crystal, computed with GGA-PBE.

## Properties
The calculation puts the calculated density at 14.702 g cm⁻³. The calculation puts the total magnetization at 0.00 μB per formula unit. The value obtained for the energy relative to the elements is 2.462 eV/f.u. As for the density of states at the Fermi level: 4.9 states/eV per cell. As for the total energy: -9.27 eV per atom.

a b c (Å): 5.4146 5.4146 5.4146
angles (deg): 60.00 60.00 60.00
Sites, in units of the cell vectors:
Ta  0.1253  0.1253  0.1253
Ta  0.1253  0.1253  0.6242
Ta  0.1253  0.6242  0.1253
Ta  0.6242  0.1253  0.1253
As  0.5000  0.5000  0.5000
Pt  0.7500  0.7500  0.7500

A relaxed BaBiPb2 crystal, computed with GGA-PBE.

## Properties
The calculation puts the calculated density at 7.666 g cm⁻³. The calculation puts the total magnetization at 0.32 μB per formula unit. The value obtained for the energy relative to the elements is 0.497 eV/f.u. As for the density of states at the Fermi level: 10.4 states/eV per cell. As for the total energy: -3.18 eV per atom.

a b c (Å): 4.0696 4.0696 34.4651
angles (deg): 90.00 90.00 120.00
Sites, in units of the cell vectors:
Ba  0.0000  0.0000  0.0000
Ba  0.3333  0.6667  0.6667
Ba  0.6667  0.3333  0.3333
Bi  0.0000  0.0000  0.5000
Bi  0.3333  0.6667  0.1667
Bi  0.6667  0.3333  0.8333
Pb  0.0000  0.0000  0.1020
Pb  0.0000  0.0000  0.8980
Pb  0.3333  0.6667  0.5647
Pb  0.3333  0.6667  0.7687
Pb  0.6667  0.3333  0.2313
Pb  0.6667  0.3333  0.4353

A relaxed Zr3PS3 crystal, computed with GGA-PBE.

## Properties
The calculation puts the calculated density at 4.666 g cm⁻³. The calculation puts the total magnetization at 0.00 μB per formula unit. The calculation puts the raw formation energy at -1.54 eV/atom. As for the density of states at the Fermi level: 7.0 states/eV per cell. As for the total energy: -7.75 eV per atom.

a b c (Å): 9.0499 9.0499 9.0499
angles (deg): 109.47 109.47 109.47
Sites, in units of the cell vectors:
Zr  0.0049  0.0098  0.2549
Zr  0.0049  0.4951  0.7500
Zr  0.0098  0.2549  0.0049
Zr  0.2451  0.2549  0.7500
Zr  0.2451  0.4902  0.4951
Zr  0.2549  0.0049  0.0098
Zr  0.2549  0.7500  0.2451
Zr  0.4902  0.4951  0.2451
Zr  0.4951  0.2451  0.4902
Zr  0.4951  0.7500  0.0049
Zr  0.7500  0.0049  0.4951
Zr  0.7500  0.2451  0.2549
P  0.0000  0.2500  0.5000
P  0.2500  0.2500  0.2500
P  0.2500  0.5000  0.0000
P  0.5000  0.0000  0.2500
S  0.2500  0.7519  0.7481
S  0.2500  0.9981  0.5019
S  0.5019  0.2500  0.9981
S  0.5019  0.7519  0.5037
S  0.5037  0.5019  0.7519
S  0.7481  0.2500  0.7519
S  0.7481  0.9981  0.9963
S  0.7519  0.5037  0.5019
S  0.7519  0.7481  0.2500
S  0.9963  0.7481  0.9981
S  0.9981  0.5019  0.2500
S  0.9981  0.9963  0.7481

A relaxed K8Bi2F crystal, computed with GGA-PBE.

## Properties
The calculation puts the calculated density at 2.496 g cm⁻³. The calculation puts the total magnetization at 0.00 μB per formula unit. The calculation puts the raw formation energy at -0.67 eV/atom. As for the density of states at the Fermi level: 3.1 states/eV per cell. As for the total energy: -2.34 eV per atom.

a b c (Å): 10.9739 10.9739 7.8736
angles (deg): 101.90 101.90 32.60
Sites, in units of the cell vectors:
K  0.0253  0.0253  0.2715
K  0.2237  0.2237  0.1324
K  0.3255  0.3255  0.5816
K  0.4134  0.4134  0.1682
K  0.5866  0.5866  0.8318
K  0.6745  0.6745  0.4184
K  0.7763  0.7763  0.8676
K  0.9747  0.9747  0.7285
Bi  0.1555  0.1555  0.6687
Bi  0.8445  0.8445  0.3313
F  0.5000  0.5000  0.0000

A relaxed NaMg3Se crystal, computed with GGA-PBE.

## Properties
The calculation puts the calculated density at 1.936 g cm⁻³. The calculation puts the total magnetization at 0.00 μB per formula unit. The calculation puts the raw formation energy at 0.61 eV/atom. As for the density of states at the Fermi level: 2.9 states/eV per cell. As for the total energy: -1.31 eV per atom.

a b c (Å): 5.3127 5.3127 5.3127
angles (deg): 90.00 90.00 90.00
Sites, in units of the cell vectors:
Na  0.0000  0.0000  0.0000
Mg  0.0000  0.0000  0.5000
Mg  0.0000  0.5000  0.0000
Mg  0.5000  0.0000  0.0000
Se  0.5000  0.5000  0.5000

A relaxed Be2InW crystal, computed with GGA-PBE.

## Properties
The calculation puts the calculated density at 9.477 g cm⁻³. The calculation puts the total magnetization at 0.00 μB per formula unit. The value obtained for the energy relative to the elements is 1.867 eV/f.u. As for the density of states at the Fermi level: 3.6 states/eV per cell. As for the total energy: -5.32 eV per atom.

a b c (Å): 3.8549 4.4642 6.4487
angles (deg): 90.00 90.00 90.00
Sites, in units of the cell vectors:
Be  0.0000  0.0000  0.0000
Be  0.0000  0.5000  0.1432
Be  0.5000  0.0000  0.1432
Be  0.5000  0.5000  0.0000
In  0.0000  0.0000  0.4263
In  0.5000  0.5000  0.4263
W  0.0000  0.5000  0.7685
W  0.5000  0.0000  0.7685

A relaxed CsSr2PbBr8 crystal, computed with GGA-PBE.

## Properties
The calculation puts the calculated density at 3.900 g cm⁻³. The calculation puts the total magnetization at 0.01 μB per formula unit. The calculation puts the raw formation energy at -1.51 eV/atom. As for the density of states at the Fermi level: 8.3 states/eV per cell. As for the total energy: -3.28 eV per atom.

a b c (Å): 6.9792 10.0075 7.0386
angles (deg): 90.00 90.23 90.00
Sites, in units of the cell vectors:
Cs  0.0000  0.0000  0.0000
Sr  0.5000  0.2628  0.5000
Sr  0.5000  0.7372  0.5000
Pb  0.0000  0.5000  0.0000
Br  0.2475  0.5000  0.6421
Br  0.2554  0.0000  0.5441
Br  0.2608  0.2888  0.1367
Br  0.2608  0.7112  0.1367
Br  0.7392  0.2888  0.8633
Br  0.7392  0.7112  0.8633
Br  0.7446  0.0000  0.4559
Br  0.7525  0.5000  0.3579

A relaxed Li2Dy3Cd4 crystal, computed with GGA-PBE.

## Properties
The calculation puts the calculated density at 7.463 g cm⁻³. The calculation puts the total magnetization at 0.00 μB per formula unit. The value obtained for the energy relative to the elements is -2.012 eV/f.u. As for the density of states at the Fermi level: 6.2 states/eV per cell. As for the total energy: -2.59 eV per atom.

a b c (Å): 5.9555 5.9555 9.2763
angles (deg): 119.01 119.01 49.53
Sites, in units of the cell vectors:
Li  0.1138  0.1138  0.2821
Li  0.8862  0.8862  0.7179
Dy  0.1655  0.1655  0.6680
Dy  0.5000  0.5000  0.0000
Dy  0.8345  0.8345  0.3320
Cd  0.2174  0.2174  0.0593
Cd  0.4369  0.4369  0.6099
Cd  0.5631  0.5631  0.3901
Cd  0.7826  0.7826  0.9407

A relaxed Cs3Tl4Hg2Bi2 crystal, computed with GGA-PBE.

## Properties
The calculation puts the calculated density at 6.623 g cm⁻³. The calculation puts the total magnetization at 0.00 μB per formula unit. The value obtained for the energy relative to the elements is -1.619 eV/f.u. As for the density of states at the Fermi level: 4.8 states/eV per cell. As for the total energy: -2.00 eV per atom.

a b c (Å): 5.4037 5.4037 20.1807
angles (deg): 90.00 90.00 120.00
Sites, in units of the cell vectors:
Cs  0.0000  0.0000  0.0000
Cs  0.0000  0.0000  0.2877
Cs  0.0000  0.0000  0.7123
Tl  0.3333  0.6667  0.4331
Tl  0.3333  0.6667  0.8569
Tl  0.6667  0.3333  0.1431
Tl  0.6667  0.3333  0.5669
Hg  0.3333  0.6667  0.5830
Hg  0.6667  0.3333  0.4170
Bi  0.3333  0.6667  0.1441
Bi  0.6667  0.3333  0.8559

A relaxed NaTm2PuS4 crystal, computed with GGA-PBE.

## Properties
The calculation puts the calculated density at 7.111 g cm⁻³. The calculation puts the total magnetization at 5.88 μB per formula unit. The calculation puts the raw formation energy at -1.83 eV/atom. As for the density of states at the Fermi level: 11.7 states/eV per cell. As for the total energy: -6.97 eV per atom.

a b c (Å): 6.7847 3.9007 6.8537
angles (deg): 90.00 109.30 90.00
Sites, in units of the cell vectors:
Na  0.0000  0.0000  0.0000
Tm  0.0000  0.5000  0.5000
Tm  0.5000  0.0000  0.5000
Pu  0.5000  0.5000  0.0000
S  0.2469  0.0000  0.7394
S  0.2552  0.5000  0.2652
S  0.7448  0.5000  0.7348
S  0.7531  0.0000  0.2606

A relaxed NaTe2Rh2 crystal, computed with GGA-PBE.

## Properties
The calculation puts the calculated density at 7.066 g cm⁻³. The calculation puts the total magnetization at 0.00 μB per formula unit. The calculation puts the raw formation energy at -0.25 eV/atom. As for the density of states at the Fermi level: 8.8 states/eV per cell. As for the total energy: -4.71 eV per atom.

a b c (Å): 4.9885 4.9885 9.1414
angles (deg): 90.00 90.00 90.00
Sites, in units of the cell vectors:
Na  0.0000  0.0000  0.0000
Na  0.5000  0.5000  0.5000
Te  0.0000  0.5000  0.2500
Te  0.0000  0.5000  0.7500
Te  0.5000  0.0000  0.2500
Te  0.5000  0.0000  0.7500
Rh  0.0000  0.0000  0.3567
Rh  0.0000  0.0000  0.6433
Rh  0.5000  0.5000  0.1433
Rh  0.5000  0.5000  0.8567

A relaxed Pm8SmTm2 crystal, computed with GGA-PBE.

## Properties
The calculation puts the calculated density at 7.313 g cm⁻³. The calculation puts the total magnetization at 0.00 μB per formula unit. The value obtained for the energy relative to the elements is 1.215 eV/f.u. As for the density of states at the Fermi level: 16.0 states/eV per cell. As for the total energy: -4.59 eV per atom.

a b c (Å): 9.4395 9.4395 9.4395
angles (deg): 145.08 128.13 64.06
Sites, in units of the cell vectors:
Pm  0.1581  0.3625  0.7956
Pm  0.1641  0.1641  0.0000
Pm  0.2947  0.0000  0.2947
Pm  0.4331  0.6375  0.7956
Pm  0.5669  0.3625  0.2044
Pm  0.7053  0.0000  0.7053
Pm  0.8359  0.8359  0.0000
Pm  0.8419  0.6375  0.2044
Sm  0.0000  0.5000  0.5000
Tm  0.3000  0.8000  0.5000
Tm  0.7000  0.2000  0.5000